CsTl6Bi4: optimized geometry, PBE.

The structure in CIF format:
```
data_CsTl6Bi4
_cell_length_a 9.3092
_cell_length_b 9.3092
_cell_length_c 5.3834
_cell_angle_alpha 90.00
_cell_angle_beta 90.00
_cell_angle_gamma 120.00
_space_group_name_H-M_alt 'P -6 m 2'
_space_group_IT_number 187
_space_group_name_Hall 'P -6 2'
loop_
_atom_site_label
_atom_site_type_symbol
_atom_site_fract_x
_atom_site_fract_y
_atom_site_fract_z
_atom_site_occupancy
Cs1 Cs 0.0000 0.0000 0.0000 1
Tl1 Tl 0.0667 0.5334 0.0000 1
Tl2 Tl 0.4040 0.2020 0.5000 1
Bi1 Bi 0.2101 0.4203 0.5000 1
Bi2 Bi 0.6667 0.3333 0.0000 1
```

Computed properties:
Calculated total energy (eV/atom): -2.841
ΔH_f (0 K) (eV per atom): -0.06

***

Na10B17C3: optimized geometry, PBE.

The structure in CIF format:
```
data_Na10B17C3
_cell_length_a 5.0810
_cell_length_b 7.8455
_cell_length_c 9.1370
_cell_angle_alpha 76.00
_cell_angle_beta 74.01
_cell_angle_gamma 71.88
_space_group_name_H-M_alt 'P 1'
_space_group_IT_number 1
loop_
_space_group_symop_operation_xyz
'x,y,z'
loop_
_atom_site_label
_atom_site_type_symbol
_atom_site_fract_x
_atom_site_fract_y
_atom_site_fract_z
_atom_site_occupancy
Na1 Na 0.0000 0.0000 0.0000 1
Na2 Na 0.0017 0.5004 0.4987 1
Na3 Na 0.1961 0.6012 0.0026 1
Na4 Na 0.2010 0.0988 0.5010 1
Na5 Na 0.3984 0.7012 0.4979 1
Na6 Na 0.4044 0.2001 0.9988 1
Na7 Na 0.5975 0.7999 0.0018 1
Na8 Na 0.6036 0.3006 0.5003 1
Na9 Na 0.7989 0.9007 0.4996 1
Na10 Na 0.8039 0.3994 0.0003 1
B1 B 0.0378 0.8494 0.7496 1
B2 B 0.0405 0.3492 0.2502 1
B3 B 0.1676 0.7640 0.2496 1
B4 B 0.1824 0.2506 0.7501 1
B5 B 0.2316 0.4582 0.7500 1
B6 B 0.3955 0.3304 0.2502 1
B7 B 0.4253 0.5563 0.2495 1
B8 B 0.4289 0.0326 0.7501 1
B9 B 0.5508 0.9613 0.2503 1
B10 B 0.5815 0.4478 0.7510 1
B11 B 0.6076 0.6681 0.7500 1
B12 B 0.7623 0.0527 0.7503 1
B13 B 0.7761 0.5431 0.2502 1
B14 B 0.8225 0.7563 0.2504 1
B15 B 0.8393 0.2454 0.7508 1
B16 B 0.9618 0.6476 0.7493 1
B17 B 0.9683 0.1373 0.2502 1
C1 C 0.2313 0.9550 0.2498 1
C2 C 0.3573 0.8505 0.7497 1
C3 C 0.6411 0.1463 0.2507 1
```

Computed properties:
Calculated total energy (eV/atom): -4.918
Relative energy among the computed polymorphs (kJ/mol of formula units): 66.3
ΔH_f (0 K) (eV per atom): 0.23

***

PuPa2Co2: optimized geometry, PBE.

The structure in CIF format:
```
data_PuPa2Co2
_cell_length_a 7.4649
_cell_length_b 7.4649
_cell_length_c 3.4411
_cell_angle_alpha 90.00
_cell_angle_beta 90.00
_cell_angle_gamma 90.00
_space_group_name_H-M_alt 'P 4/m b m'
_space_group_IT_number 127
_space_group_name_Hall '-P 4 2ab'
loop_
_atom_site_label
_atom_site_type_symbol
_atom_site_fract_x
_atom_site_fract_y
_atom_site_fract_z
_atom_site_occupancy
Pu1 Pu 0.0000 0.0000 0.0000 1
Pa1 Pa 0.1711 0.3289 0.5000 1
Co1 Co 0.1244 0.6244 0.0000 1
```

Computed properties:
Calculated total energy (eV/atom): -9.714
ΔH_f (0 K) (eV per atom): -0.21